[1]
A plane-wave DFT calculation with PBE-GGA was carried out for a relaxed structure of YSe2F.

Calculated values
Offset from the most stable computed form (eV per atom): 0.213
Symmetry: No. 225
Electronic total energy (eV/atom): -5.05

Lattice parameters (Å, degrees): 4.8313 4.8313 4.8313 60.00 60.00 60.00
Last column: nearest neighbours and their distance in Å.
Sites, in units of the cell vectors:
Y  0.0000  0.0000  0.0000  8 Se 2.96
Se  0.2500  0.2500  0.2500  4 F 2.96, 4 Y 2.96
Se  0.7500  0.7500  0.7500  4 F 2.96, 4 Y 2.96
F  0.5000  0.5000  0.5000  8 Se 2.96



[2]
A plane-wave DFT calculation with PBE-GGA was carried out for a relaxed structure of KHfMg14.

Calculated values
Offset from the most stable computed form (eV per atom): 0.020
Symmetry: No. 187
Formation energy from the elements (eV per atom): 0.13
Electronic total energy (eV/atom): -1.96

Lattice parameters (Å, degrees): 6.5708 6.5708 10.3950 90.00 90.00 120.00
Last column: nearest neighbours and their distance in Å.
Sites, in units of the cell vectors:
K  0.0000  0.0000  0.0000  12 Mg 3.29-3.35
Hf  0.0000  0.0000  0.5000  12 Mg 3.10-3.29
Mg  0.0095  0.5047  0.0000  10 Mg 3.19-3.38, 2 K 3.29
Mg  0.1678  0.3356  0.2646  10 Mg 3.09-3.32, 1 Hf 3.10, 1 K 3.35
Mg  0.1678  0.3356  0.7354  10 Mg 3.09-3.32, 1 Hf 3.10, 1 K 3.35
Mg  0.1678  0.8322  0.2646  10 Mg 3.09-3.32, 1 Hf 3.10, 1 K 3.35
Mg  0.1678  0.8322  0.7354  10 Mg 3.09-3.32, 1 Hf 3.10, 1 K 3.35
Mg  0.4953  0.5047  0.0000  10 Mg 3.19-3.38, 2 K 3.29
Mg  0.4953  0.9905  0.0000  10 Mg 3.19-3.38, 2 K 3.29
Mg  0.5007  0.0014  0.5000  10 Mg 3.09-3.30, 2 Hf 3.29
Mg  0.5007  0.4993  0.5000  10 Mg 3.09-3.30, 2 Hf 3.29
Mg  0.6644  0.8322  0.2646  10 Mg 3.09-3.32, 1 Hf 3.10, 1 K 3.35
Mg  0.6644  0.8322  0.7354  10 Mg 3.09-3.32, 1 Hf 3.10, 1 K 3.35
Mg  0.6667  0.3333  0.2464  12 Mg 3.22-3.29
Mg  0.6667  0.3333  0.7536  12 Mg 3.22-3.29
Mg  0.9986  0.4993  0.5000  10 Mg 3.09-3.30, 2 Hf 3.29



[3]
A plane-wave DFT calculation with PBE-GGA was carried out for a relaxed structure of Sr2BeOsO6.

Calculated values
Symmetry: No. 69
Electronic total energy (eV/atom): -6.86

Lattice parameters (Å, degrees): 5.4516 5.4402 5.4114 60.31 60.10 59.58
Last column: nearest neighbours and their distance in Å.
Sites, in units of the cell vectors:
Sr  0.2500  0.2500  0.2500  12 O 2.71-2.73
Sr  0.7500  0.7500  0.7500  12 O 2.71-2.73
Be  0.0000  0.0000  0.0000  6 O 1.87-1.92
Os  0.5000  0.5000  0.5000  6 O 1.95
O  0.2451  0.7549  0.7549  1 Be 1.87, 1 Os 1.95
O  0.2460  0.7540  0.2460  1 Be 1.89, 1 Os 1.95
O  0.2482  0.2482  0.7518  1 Be 1.92, 1 Os 1.95
O  0.7518  0.7518  0.2482  1 Be 1.92, 1 Os 1.95
O  0.7540  0.2460  0.7540  1 Be 1.89, 1 Os 1.95
O  0.7549  0.2451  0.2451  1 Be 1.87, 1 Os 1.95



[4]
A plane-wave DFT calculation with PBE-GGA was carried out for a relaxed structure of AsOsC3.

Calculated values
Offset from the most stable computed form (eV per atom): 0.000
Symmetry: No. 221
Formation energy from the elements (eV per atom): 2.14
Electronic total energy (eV/atom): -6.57

Lattice parameters (Å, degrees): 4.0293 4.0293 4.0293 90.00 90.00 90.00
Last column: nearest neighbours and their distance in Å.
Sites, in units of the cell vectors:
As  0.0000  0.0000  0.0000  12 C 2.85
Os  0.5000  0.5000  0.5000  6 C 2.01
C  0.0000  0.5000  0.5000  2 Os 2.01
C  0.5000  0.0000  0.5000  2 Os 2.01
C  0.5000  0.5000  0.0000  2 Os 2.01



[5]
A plane-wave DFT calculation with PBE-GGA was carried out for a relaxed structure of PuAgTe2.

Calculated values
Symmetry: No. 62
Electronic total energy (eV/atom): -6.52

Lattice parameters (Å, degrees): 7.6562 4.2473 13.9633 90.00 90.00 90.00
Last column: nearest neighbours and their distance in Å.
Sites, in units of the cell vectors:
Pu  0.1713  0.2500  0.1532  7 Te 3.15-3.38
Pu  0.3287  0.7500  0.6532  7 Te 3.15-3.38
Pu  0.6713  0.2500  0.3468  7 Te 3.15-3.38
Pu  0.8287  0.7500  0.8468  7 Te 3.15-3.38
Ag  0.0725  0.7500  0.4404  4 Te 2.80-3.10, 2 Ag 2.92
Ag  0.4275  0.2500  0.9404  4 Te 2.80-3.10, 2 Ag 2.92
Ag  0.5725  0.7500  0.0596  4 Te 2.80-3.10, 2 Ag 2.92
Ag  0.9275  0.2500  0.5596  4 Te 2.80-3.10, 2 Ag 2.92
Te  0.0691  0.2500  0.7441  1 Ag 2.80
Te  0.1922  0.7500  0.9837  3 Ag 2.85-3.10, 2 Pu 3.18
Te  0.3078  0.2500  0.4837  3 Ag 2.85-3.10, 2 Pu 3.18
Te  0.4309  0.7500  0.2441  1 Ag 2.80
Te  0.5691  0.2500  0.7559  1 Ag 2.80
Te  0.6922  0.7500  0.5163  3 Ag 2.85-3.10, 2 Pu 3.18
Te  0.8078  0.2500  0.0163  3 Ag 2.85-3.10, 2 Pu 3.18
Te  0.9309  0.7500  0.2559  1 Ag 2.80



[6]
A plane-wave DFT calculation with PBE-GGA was carried out for a relaxed structure of KSrCa2Ru.

Calculated values
Symmetry: No. 123
Formation energy from the elements (eV per atom): 0.19
Electronic total energy (eV/atom): -3.02

Lattice parameters (Å, degrees): 5.7219 5.7219 5.9439 90.00 90.00 90.00
Last column: nearest neighbours and their distance in Å.
Sites, in units of the cell vectors:
K  0.0000  0.0000  0.0000  4 Sr 4.05, 8 Ca 4.13
Sr  0.5000  0.5000  0.0000  2 Ru 2.97
Ca  0.0000  0.5000  0.5000  2 Ru 2.86
Ca  0.5000  0.0000  0.5000  2 Ru 2.86
Ru  0.5000  0.5000  0.5000  4 Ca 2.86, 2 Sr 2.97



[7]
A plane-wave DFT calculation with PBE-GGA was carried out for a relaxed structure of TlIn12Pb6.

Calculated values
Offset from the most stable computed form (eV per atom): 0.000
Symmetry: No. 148
Formation energy from the elements (eV per atom): 0.08
Electronic total energy (eV/atom): -2.95

Lattice parameters (Å, degrees): 8.3826 8.3826 8.3826 85.56 85.56 85.56
Last column: nearest neighbours and their distance in Å.
Sites, in units of the cell vectors:
Tl  0.0000  0.0000  0.0000  6 Pb 3.36, 6 In 3.50
In  0.0525  0.3738  0.1411  4 In 3.18-3.31, 1 Pb 3.33, 1 Tl 3.50
In  0.1411  0.0525  0.3738  4 In 3.18-3.31, 1 Pb 3.33, 1 Tl 3.50
In  0.1688  0.6094  0.5149  4 Pb 3.25-3.30, 4 In 3.31-3.52
In  0.3738  0.1411  0.0525  4 In 3.18-3.31, 1 Pb 3.33, 1 Tl 3.50
In  0.3906  0.4851  0.8312  4 Pb 3.25-3.30, 4 In 3.31-3.52
In  0.4851  0.8312  0.3906  4 Pb 3.25-3.30, 4 In 3.31-3.52
In  0.5149  0.1688  0.6094  4 Pb 3.25-3.30, 4 In 3.31-3.52
In  0.6094  0.5149  0.1688  4 Pb 3.25-3.30, 4 In 3.31-3.52
In  0.6262  0.8589  0.9475  4 In 3.18-3.31, 1 Pb 3.33, 1 Tl 3.50
In  0.8312  0.3906  0.4851  4 Pb 3.25-3.30, 4 In 3.31-3.52
In  0.8589  0.9475  0.6262  4 In 3.18-3.31, 1 Pb 3.33, 1 Tl 3.50
In  0.9475  0.6262  0.8589  4 In 3.18-3.31, 1 Pb 3.33, 1 Tl 3.50
Pb  0.1344  0.2567  0.7000  5 In 3.25-3.33, 1 Tl 3.36, 2 Pb 3.46
Pb  0.2567  0.7000  0.1344  5 In 3.25-3.33, 1 Tl 3.36, 2 Pb 3.46
Pb  0.3000  0.8656  0.7433  5 In 3.25-3.33, 1 Tl 3.36, 2 Pb 3.46
Pb  0.7000  0.1344  0.2567  5 In 3.25-3.33, 1 Tl 3.36, 2 Pb 3.46
Pb  0.7433  0.3000  0.8656  5 In 3.25-3.33, 1 Tl 3.36, 2 Pb 3.46
Pb  0.8656  0.7433  0.3000  5 In 3.25-3.33, 1 Tl 3.36, 2 Pb 3.46



[8]
A plane-wave DFT calculation with PBE-GGA was carried out for a relaxed structure of TbHo7Al4.

Calculated values
Symmetry: No. 12
Formation energy from the elements (eV per atom): -0.05
Electronic total energy (eV/atom): -4.35

Lattice parameters (Å, degrees): 7.4287 7.4287 10.3802 121.84 121.84 43.16
Last column: nearest neighbours and their distance in Å.
Sites, in units of the cell vectors:
Tb  0.0000  0.0000  0.0000  2 Ho 2.73
Ho  0.0655  0.0655  0.3896  5 Al 3.06-3.35, 2 Ho 3.22-3.42
Ho  0.2128  0.2128  0.8774  6 Ho 3.22-3.59, 4 Al 3.26-3.29
Ho  0.2972  0.2972  0.3543  4 Al 2.92-3.14
Ho  0.5000  0.5000  0.0000  2 Tb 2.73, 4 Al 2.88-2.95
Ho  0.7028  0.7028  0.6457  4 Al 2.92-3.14
Ho  0.7872  0.7872  0.1226  6 Ho 3.22-3.59, 4 Al 3.26-3.29
Ho  0.9345  0.9345  0.6104  5 Al 3.06-3.35, 2 Ho 3.22-3.42
Al  0.3232  0.3232  0.6676  1 Al 2.76, 3 Ho 2.88-3.06
Al  0.4452  0.4452  0.2368  1 Al 2.76, 2 Ho 2.92-2.95
Al  0.5548  0.5548  0.7632  1 Al 2.76, 2 Ho 2.92-2.95
Al  0.6768  0.6768  0.3324  1 Al 2.76, 3 Ho 2.88-3.06